1.
{"formula": "Y3ZnCo", "functional": "PBE-GGA", "state": "relaxed", "sg": "No. 12", "polymorph_energy_kj_per_mol_atoms": 0.9, "dos_at_fermi_per_ev_atom": 1.153, "ef_ev_per_atom": -0.1928, "lattice_angstrom": [[4.995, -3.112, 0.000], [4.995, 3.112, 0.000], [-3.797, 0.000, 7.742]], "species": ["Y", "Y", "Y", "Y", "Y", "Y", "Zn", "Zn", "Co", "Co"], "fractional_positions": [[0.021, 0.021, 0.228], [0.297, 0.297, 0.676], [0.312, 0.312, 0.131], [0.688, 0.688, 0.869], [0.703, 0.703, 0.324], [0.979, 0.979, 0.772], [0.294, 0.706, 0.500], [0.706, 0.294, 0.500], [0.313, 0.687, 0.000], [0.687, 0.313, 0.000]]}

2.
{"formula": "Y2ZnCo", "functional": "PBE-GGA", "state": "relaxed", "sg": "No. 119", "dos_at_fermi_per_ev_atom": 1.031, "ef_ev_per_atom": 0.0303, "lattice_angstrom": [[4.140, 0.000, 0.000], [0.000, 4.140, 0.000], [0.000, 0.000, 9.682]], "species": ["Y", "Y", "Y", "Y", "Zn", "Zn", "Co", "Co"], "fractional_positions": [[0.000, 0.000, 0.000], [0.000, 0.500, 0.250], [0.500, 0.000, 0.750], [0.500, 0.500, 0.500], [0.000, 0.500, 0.750], [0.500, 0.000, 0.250], [0.000, 0.000, 0.500], [0.500, 0.500, 0.000]]}

3.
{"formula": "Y3Zn4Co2", "functional": "PBE-GGA", "state": "relaxed", "sg": "No. 12", "dos_at_fermi_per_ev_atom": 0.683, "ef_ev_per_atom": -0.2753, "lattice_angstrom": [[5.374, -2.086, 0.000], [5.374, 2.086, 0.000], [-3.385, 0.000, 7.623]], "species": ["Y", "Y", "Y", "Zn", "Zn", "Zn", "Zn", "Co", "Co"], "fractional_positions": [[0.000, 0.000, 0.000], [0.315, 0.315, 0.357], [0.685, 0.685, 0.643], [0.032, 0.032, 0.366], [0.283, 0.283, 0.942], [0.717, 0.717, 0.058], [0.968, 0.968, 0.634], [0.400, 0.400, 0.737], [0.600, 0.600, 0.263]]}

4.
{"formula": "YZn2Co", "functional": "PBE-GGA", "state": "relaxed", "sg": "No. 12", "dos_at_fermi_per_ev_atom": 0.952, "ef_ev_per_atom": -0.1538, "lattice_angstrom": [[7.110, 0.000, 0.000], [0.000, 4.121, 0.000], [-2.398, 0.000, 4.930]], "species": ["Y", "Y", "Zn", "Zn", "Zn", "Zn", "Co", "Co"], "fractional_positions": [[0.000, 0.000, 0.000], [0.500, 0.500, 0.000], [0.208, 0.000, 0.624], [0.292, 0.500, 0.376], [0.708, 0.500, 0.624], [0.792, 0.000, 0.376], [0.000, 0.500, 0.500], [0.500, 0.000, 0.500]]}

5.
{"formula": "YZn8Co2", "functional": "PBE-GGA", "state": "relaxed", "sg": "No. 123", "dos_at_fermi_per_ev_atom": 0.801, "ef_ev_per_atom": 0.2310, "lattice_angstrom": [[6.196, 0.000, 0.000], [0.000, 6.196, 0.000], [0.000, 0.000, 5.189]], "species": ["Y", "Zn", "Zn", "Zn", "Zn", "Zn", "Zn", "Zn", "Zn", "Co", "Co"], "fractional_positions": [[0.000, 0.000, 0.000], [0.289, 0.289, 0.258], [0.289, 0.289, 0.742], [0.289, 0.711, 0.258], [0.289, 0.711, 0.742], [0.711, 0.289, 0.258], [0.711, 0.289, 0.742], [0.711, 0.711, 0.258], [0.711, 0.711, 0.742], [0.000, 0.500, 0.500], [0.500, 0.000, 0.500]]}

6.
{"formula": "Y3Zn2Co7", "functional": "PBE-GGA", "state": "relaxed", "sg": "No. 166", "dos_at_fermi_per_ev_atom": 1.242, "ef_ev_per_atom": -0.2007, "lattice_angstrom": [[2.533, 1.462, 8.145], [-2.533, 1.462, 8.145], [0.000, -2.925, 8.145]], "species": ["Y", "Y", "Y", "Zn", "Zn", "Co", "Co", "Co", "Co", "Co", "Co", "Co"], "fractional_positions": [[0.000, 0.000, 0.000], [0.140, 0.140, 0.140], [0.860, 0.860, 0.860], [0.333, 0.333, 0.333], [0.667, 0.667, 0.667], [0.084, 0.584, 0.584], [0.416, 0.416, 0.916], [0.416, 0.916, 0.416], [0.500, 0.500, 0.500], [0.584, 0.084, 0.584], [0.584, 0.584, 0.084], [0.916, 0.416, 0.416]]}

7.
{"formula": "YZn7Co5", "functional": "PBE-GGA", "state": "relaxed", "sg": "No. 44", "dos_at_fermi_per_ev_atom": 0.744, "ef_ev_per_atom": -0.1495, "lattice_angstrom": [[-2.474, 4.276, 4.298], [2.474, -4.276, 4.298], [2.474, 4.276, -4.298]], "species": ["Y", "Zn", "Zn", "Zn", "Zn", "Zn", "Zn", "Zn", "Co", "Co", "Co", "Co", "Co"], "fractional_positions": [[0.000, 0.000, 0.000], [0.230, 0.515, 0.715], [0.242, 0.742, 0.500], [0.346, 0.346, 0.000], [0.367, 0.022, 0.346], [0.667, 0.667, 0.000], [0.676, 0.022, 0.654], [0.801, 0.515, 0.285], [0.013, 0.015, 0.491], [0.013, 0.522, 0.998], [0.524, 0.015, 0.002], [0.524, 0.522, 0.509], [0.784, 0.284, 0.500]]}

8.
{"formula": "YZn2Co", "functional": "PBE-GGA", "state": "relaxed", "sg": "No. 10", "dos_at_fermi_per_ev_atom": 0.640, "ef_ev_per_atom": -0.0545, "lattice_angstrom": [[3.229, 0.000, 0.000], [0.000, 4.405, 0.000], [-1.376, 0.000, 4.902]], "species": ["Y", "Zn", "Zn", "Co"], "fractional_positions": [[0.000, 0.000, 0.000], [0.358, 0.500, 0.707], [0.642, 0.500, 0.293], [0.500, 0.000, 0.500]]}